# 1
First-principles (PBE) data for a relaxed structure of Li2Ni5B2As, as listed in Alexandria via LeMat-Bulk.

Structure (CIF):
```
data_Li2Ni5B2As
_chemical_formula_sum 'Li4 Ni10 B4 As2'
_symmetry_space_group_name_H-M 'P 4/m b m'
_symmetry_Int_Tables_number 127
_symmetry_space_group_name_Hall '-P 4 2ab'
_cell_length_a 8.576
_cell_length_b 8.576
_cell_length_c 2.905
_cell_angle_alpha 90.00
_cell_angle_beta 90.00
_cell_angle_gamma 90.00
loop_
_atom_site_label
_atom_site_type_symbol
_atom_site_fract_x
_atom_site_fract_y
_atom_site_fract_z
Li1 Li 0.174 0.326 0.000
Ni1 Ni 0.000 0.500 0.500
Ni2 Ni 0.073 0.780 0.500
B1 B 0.120 0.620 0.000
As1 As 0.000 0.000 0.000
```

## Properties
For the total DFT energy (no corrections), the calculation gives -5.377 eV per atom.

***

# 2
First-principles (PBE) data for a relaxed structure of CuRuPt2, as listed in Alexandria via LeMat-Bulk.

Structure (CIF):
```
data_CuRuPt2
_chemical_formula_sum 'Cu4 Ru4 Pt8'
_symmetry_space_group_name_H-M 'F -4 3 m'
_symmetry_Int_Tables_number 216
_symmetry_space_group_name_Hall 'F -4 2 3'
_cell_length_a 6.176
_cell_length_b 6.176
_cell_length_c 6.176
_cell_angle_alpha 90.00
_cell_angle_beta 90.00
_cell_angle_gamma 90.00
loop_
_atom_site_label
_atom_site_type_symbol
_atom_site_fract_x
_atom_site_fract_y
_atom_site_fract_z
Cu1 Cu 0.000 0.000 0.000
Ru1 Ru 0.250 0.250 0.750
Pt1 Pt 0.000 0.000 0.500
Pt2 Pt 0.250 0.250 0.250
```

## Properties
For the total DFT energy (no corrections), the calculation gives -6.164 eV per atom. The distance to the lowest polymorph of the same formula is 247 meV per atom.

***

# 3
First-principles (PBE) data for a relaxed structure of NaNdGaHg, as listed in Alexandria via LeMat-Bulk.

Structure (CIF):
```
data_NaNdGaHg
_chemical_formula_sum 'Na4 Nd4 Ga4 Hg4'
_symmetry_space_group_name_H-M 'F -4 3 m'
_symmetry_Int_Tables_number 216
_symmetry_space_group_name_Hall 'F -4 2 3'
_cell_length_a 7.357
_cell_length_b 7.357
_cell_length_c 7.357
_cell_angle_alpha 90.00
_cell_angle_beta 90.00
_cell_angle_gamma 90.00
loop_
_atom_site_label
_atom_site_type_symbol
_atom_site_fract_x
_atom_site_fract_y
_atom_site_fract_z
Na1 Na 0.000 0.000 0.000
Nd1 Nd 0.000 0.000 0.500
Ga1 Ga 0.250 0.250 0.250
Hg1 Hg 0.250 0.250 0.750
```

## Properties
For the total DFT energy (no corrections), the calculation gives -2.691 eV per atom.

***

# 4
First-principles (PBE) data for a relaxed structure of GaOsO2F, as listed in Alexandria via LeMat-Bulk.

Structure (CIF):
```
data_GaOsO2F
_chemical_formula_sum 'Ga1 Os1 O2 F1'
_symmetry_space_group_name_H-M 'P 4/m m m'
_symmetry_Int_Tables_number 123
_symmetry_space_group_name_Hall '-P 4 2'
_cell_length_a 3.890
_cell_length_b 3.890
_cell_length_c 3.874
_cell_angle_alpha 90.00
_cell_angle_beta 90.00
_cell_angle_gamma 90.00
loop_
_atom_site_label
_atom_site_type_symbol
_atom_site_fract_x
_atom_site_fract_y
_atom_site_fract_z
Ga1 Ga 0.000 0.000 0.000
Os1 Os 0.500 0.500 0.500
O1 O 0.000 0.500 0.000
F1 F 0.000 0.000 0.500
```

## Properties
For the total DFT energy (no corrections), the calculation gives -5.394 eV per atom. Its uncorrected formation energy is -0.185 eV per atom.